# 1
VASP calculation (PBE) on crystalline LaSmNO at its relaxed geometry.

The value obtained for the total energy is -7.915 eV per atom. For the uncorrected formation energy, the calculation gives -2182 meV per atom. Its density of states at the Fermi level is 0.1848 states/eV/atom.

Cell: 3.617 3.617 5.127 Å, 90.00 90.00 90.00°
Sites, in units of the cell vectors:
O 0.500 0.500 0.500
N 0.000 0.000 0.000
La 0.000 0.000 0.500
Sm 0.500 0.500 0.000

=====

# 2
VASP calculation (PBE) on crystalline LaSnN2O at its relaxed geometry.

The value obtained for the total energy is -5.818 eV per atom. For the uncorrected formation energy, the calculation gives 290 meV per atom. Its density of states at the Fermi level is 0.7868 states/eV/atom.

Cell: 4.388 4.388 4.574 Å, 90.00 90.00 90.00°
Each line ends with the local moment (μB).
Sites, in units of the cell vectors:
O 0.000 0.000 0.500  0.10
La 0.000 0.000 0.000  0.01
Sn 0.500 0.500 0.500  0.00
N 0.500 0.000 0.000  0.02
N 0.000 0.500 0.000  0.02